Model i:
Compound: Ta2MnSi
Source: Alexandria via LeMat-Bulk
Functional: GGA-PBE
Structure: relaxed

Results
Mass density in g/cm³: 12.2

extended XYZ file:
```
4
Lattice="4.525 -0.015 0.008 -1.153 4.376 0.008 -0.004 -0.006 3.051" Properties=species:S:1:pos:R:3 pbc="T T T"
Mn 2.261 -0.010 1.530
Si -0.579 2.185 1.530
Ta 0.000 0.000 0.000
Ta 1.686 2.181 0.008
```


Model ii:
Compound: Ta2MnSi
Source: Alexandria via LeMat-Bulk
Functional: GGA-PBE
Structure: relaxed

Results
Mass density in g/cm³: 12.1

extended XYZ file:
```
4
Lattice="4.863 -0.099 0.023 3.648 3.218 0.023 1.916 0.702 3.811" Properties=species:S:1:pos:R:3 pbc="T T T"
Mn 7.821 2.865 2.893
Si 2.607 0.955 0.964
Ta 1.978 0.725 3.776
Ta 5.152 1.888 1.964
```


Model iii:
Compound: Ta2MnSi
Source: Alexandria via LeMat-Bulk
Functional: GGA-PBE
Structure: relaxed

Results
Mass density in g/cm³: 11.7

extended XYZ file:
```
4
Lattice="8.474 0.004 0.002 7.953 2.926 0.002 7.953 1.419 2.559" Properties=species:S:1:pos:R:3 pbc="T T T"
Mn 12.057 2.151 1.268
Si 18.494 3.299 1.945
Ta 0.140 0.025 0.015
Ta 5.878 1.048 0.618
```


Winner for stability: model ii


Model i:
Compound: Ta3MnSi
Source: Alexandria via LeMat-Bulk
Functional: GGA-PBE
Structure: relaxed

Results
Mass density in g/cm³: 10.8

extended XYZ file:
```
5
Lattice="-3.617 0.211 2.817 -2.807 -0.773 -3.547 0.311 -4.519 0.738" Properties=species:S:1:pos:R:3 pbc="T T T"
Si 0.000 0.000 0.000
Mn -3.056 -2.540 0.004
Ta -1.404 -0.386 -1.774
Ta 0.156 -2.259 0.369
Ta -1.809 0.106 1.408
```


Model ii:
Compound: Ta3MnSi
Source: Alexandria via LeMat-Bulk
Functional: GGA-PBE
Structure: relaxed

Results
Mass density in g/cm³: 11.0

extended XYZ file:
```
5
Lattice="4.554 0.000 0.000 0.000 4.554 0.000 0.000 0.000 4.554" Properties=species:S:1:pos:R:3 pbc="T T T"
Si 2.277 2.277 2.277
Mn 0.000 0.000 0.000
Ta 0.000 2.277 0.000
Ta 0.000 0.000 2.277
Ta 2.277 0.000 0.000
```


Winner for stability: model ii


Model i:
Compound: MnSiTc3
Source: Alexandria via LeMat-Bulk
Functional: GGA-PBE
Structure: relaxed

Results
Mass density in g/cm³: 7.7

extended XYZ file:
```
5
Lattice="4.330 0.000 0.000 0.000 4.330 0.000 0.000 0.000 4.330" Properties=species:S:1:pos:R:3 pbc="T T T"
Si 0.000 0.000 0.000
Mn 2.165 2.165 2.165
Tc 0.000 2.165 0.000
Tc 0.000 0.000 2.165
Tc 2.165 0.000 0.000
```


Model ii:
Compound: MnSiTc3
Source: Alexandria via LeMat-Bulk
Functional: GGA-PBE
Structure: relaxed

Results
Mass density in g/cm³: 7.4

extended XYZ file:
```
5
Lattice="-4.140 -0.610 1.307 0.263 -4.225 -1.140 1.419 -0.999 4.026" Properties=species:S:1:pos:R:3 pbc="T T T"
Si -1.229 -2.917 2.097
Mn 0.000 0.000 0.000
Tc 0.131 -2.112 -0.570
Tc 0.709 -0.499 2.013
Tc -2.070 -0.305 0.654
```


Winner for stability: model i